1.
# LaMnP2Pd

Crystalline LaMnP2Pd at its relaxed geometry (PBE, Alexandria via LeMat-Bulk).

Output
final energy: -68.78 eV per cell
ΔE_f: -0.856 eV/atom
calculated volume: 17.509 A^3/atom

a = 3.9064 Å, b = 3.9064 Å, c = 11.4738 Å
α = 90.00°, β = 90.00°, γ = 90.00°
Space group I-4m2 (No. 119)
Unique sites:
La: 0.0000 0.0000 0.0000 [2 per cell]
Mn: 0.0000 0.5000 0.2500 [2 per cell]
P: 0.0000 0.0000 0.3615 [4 per cell]
Pd: 0.0000 0.5000 0.7500 [2 per cell]


2.
# ZrTa3Tl2O12

Crystalline ZrTa3Tl2O12 at its relaxed geometry (PBE, Alexandria via LeMat-Bulk).

Output
final energy: -443.08 eV per cell
calculated volume: 17.276 A^3/atom

a = 7.5695 Å, b = 7.5695 Å, c = 18.8010 Å
α = 90.00°, β = 90.00°, γ = 120.00°
Space group R-3m (No. 166, hexagonal axes)
Unique sites:
Zr: 0.0000 0.0000 0.0000 [3 per cell]
Ta: 0.0000 0.5000 0.5000 [9 per cell]
Tl: 0.0000 0.0000 0.3353 [6 per cell]
O: 0.0669 0.5335 0.6031 [18 per cell]
O: 0.0891 0.5446 0.8508 [18 per cell]


- final energy of number 1 (LaMnP2Pd)?
  -68.78 eV per cell


- Which of these has the lowest final energy?
  ZrTa3Tl2O12


Repeat the second record exactly.
# ZrTa3Tl2O12

Crystalline ZrTa3Tl2O12 at its relaxed geometry (PBE, Alexandria via LeMat-Bulk).

Output
final energy: -443.08 eV per cell
calculated volume: 17.276 A^3/atom

a = 7.5695 Å, b = 7.5695 Å, c = 18.8010 Å
α = 90.00°, β = 90.00°, γ = 120.00°
Space group R-3m (No. 166, hexagonal axes)
Unique sites:
Zr: 0.0000 0.0000 0.0000 [3 per cell]
Ta: 0.0000 0.5000 0.5000 [9 per cell]
Tl: 0.0000 0.0000 0.3353 [6 per cell]
O: 0.0669 0.5335 0.6031 [18 per cell]
O: 0.0891 0.5446 0.8508 [18 per cell]